Density functional theory data (PBE) for LiHfFeSn after structural relaxation.

## Properties
The formation energy is -261 meV/atom. The calculation puts the total magnetization at 0.25 μB per atom. Its volume is 15.801 Å³/atom. The space group is No. 216.

Cell and atoms, written as POSCAR:
```
LiHfFeSn
1.0
-1.246 -1.181 -4.128
-0.977 -4.268 -0.905
-4.231 -1.204 -0.799
Li Hf Sn Fe
1 1 1 1
direct
0.500 0.500 0.500
0.750 0.750 0.750
0.250 0.250 0.250
0.000 0.000 0.000
```